Record 1
DFT (SCAN) results for Ba3TlMo at its PBEsol-relaxed geometry.

Computed properties:
final energy = -222.24 eV per cell
SG = Pm-3m (221)
formation energy = 0.73 eV per atom

abc: 6.490 6.490 6.490
angles: 90.00 90.00 90.00
Element x y z (fractional)
Ba (0.000, 0.000, 0.500)
Ba (0.000, 0.500, 0.000)
Ba (0.500, 0.000, 0.000)
Tl (0.000, 0.000, 0.000)
Mo (0.500, 0.500, 0.500)

Record 2
DFT (SCAN) results for BaTl2Mo at its PBEsol-relaxed geometry.

Computed properties:
final energy = -432.59 eV per cell
SG = Cmm2 (35)
formation energy = 0.71 eV per atom
polymorph energy (0 for the lowest one) = 128 meV/atom

abc: 4.120 4.911 10.115
angles: 90.00 90.00 90.00
Element x y z (fractional)
Ba (0.000, 0.000, 0.000)
Ba (0.500, 0.500, 0.000)
Tl (0.000, 0.000, 0.449)
Tl (0.000, 0.500, 0.696)
Tl (0.500, 0.000, 0.696)
Tl (0.500, 0.500, 0.449)
Mo (0.000, 0.500, 0.253)
Mo (0.500, 0.000, 0.253)

Record 3
DFT (SCAN) results for BaTlMo2 at its PBEsol-relaxed geometry.

Computed properties:
final energy = -178.39 eV per cell
SG = P4/mmm (123)
formation energy = 0.82 eV per atom
polymorph energy (0 for the lowest one) = 0 meV/atom

abc: 3.723 3.723 7.239
angles: 90.00 90.00 90.00
Element x y z (fractional)
Ba (0.000, 0.000, 0.000)
Tl (0.000, 0.000, 0.500)
Mo (0.500, 0.500, 0.348)
Mo (0.500, 0.500, 0.652)

Record 4
DFT (SCAN) results for BaTlMo2 at its PBEsol-relaxed geometry.

Computed properties:
final energy = -708.99 eV per cell
SG = F-43m (216)
formation energy = 1.11 eV per atom
polymorph energy (0 for the lowest one) = 287 meV/atom

abc: 7.089 7.089 7.089
angles: 90.00 90.00 90.00
Element x y z (fractional)
Ba (0.000, 0.000, 0.000)
Ba (0.000, 0.500, 0.500)
Ba (0.500, 0.000, 0.500)
Ba (0.500, 0.500, 0.000)
Tl (0.250, 0.250, 0.750)
Tl (0.250, 0.750, 0.250)
Tl (0.750, 0.250, 0.250)
Tl (0.750, 0.750, 0.750)
Mo (0.000, 0.000, 0.500)
Mo (0.000, 0.500, 0.000)
Mo (0.250, 0.250, 0.250)
Mo (0.250, 0.750, 0.750)
Mo (0.500, 0.000, 0.000)
Mo (0.500, 0.500, 0.500)
Mo (0.750, 0.250, 0.750)
Mo (0.750, 0.750, 0.250)

Record 5
DFT (SCAN) results for Ba2TlMo at its PBEsol-relaxed geometry.

Computed properties:
final energy = -369.59 eV per cell
SG = Amm2 (38)
formation energy = 0.39 eV per atom
polymorph energy (0 for the lowest one) = 0 meV/atom

abc: 4.735 4.917 12.442
angles: 90.00 90.00 90.00
Element x y z (fractional)
Ba (0.000, 0.000, 0.000)
Ba (0.000, 0.500, 0.500)
Ba (0.500, 0.000, 0.291)
Ba (0.500, 0.500, 0.791)
Tl (0.000, 0.000, 0.705)
Tl (0.000, 0.500, 0.205)
Mo (0.500, 0.000, 0.591)
Mo (0.500, 0.500, 0.091)

Record 6
DFT (SCAN) results for BaTl2Mo at its PBEsol-relaxed geometry.

Computed properties:
final energy = -433.61 eV per cell
SG = I-4m2 (119)
formation energy = 0.59 eV per atom
polymorph energy (0 for the lowest one) = 0 meV/atom

abc: 4.996 4.996 9.020
angles: 90.00 90.00 90.00
Element x y z (fractional)
Ba (0.000, 0.000, 0.000)
Ba (0.500, 0.500, 0.500)
Tl (0.000, 0.000, 0.500)
Tl (0.000, 0.500, 0.750)
Tl (0.500, 0.000, 0.250)
Tl (0.500, 0.500, 0.000)
Mo (0.000, 0.500, 0.250)
Mo (0.500, 0.000, 0.750)

Record 7
DFT (SCAN) results for Ba2TlMo at its PBEsol-relaxed geometry.

Computed properties:
final energy = -184.19 eV per cell
SG = P4/mmm (123)
formation energy = 0.54 eV per atom
polymorph energy (0 for the lowest one) = 150 meV/atom

abc: 3.948 3.948 8.478
angles: 90.00 90.00 90.00
Element x y z (fractional)
Ba (0.000, 0.000, 0.236)
Ba (0.000, 0.000, 0.764)
Tl (0.500, 0.500, 0.500)
Mo (0.500, 0.500, 0.000)

Record 8
DFT (SCAN) results for BaMo2W at its PBEsol-relaxed geometry.

Computed properties:
final energy = -175.43 eV per cell
SG = Pm (6)
formation energy = 0.90 eV per atom
polymorph energy (0 for the lowest one) = 50 meV/atom

abc: 2.981 4.139 7.377
angles: 90.00 99.93 90.00
Element x y z (fractional)
Ba (0.000, 0.000, 0.000)
Mo (0.615, 0.000, 0.495)
Mo (0.895, 0.500, 0.345)
W (0.316, 0.500, 0.650)

Record 9
DFT (SCAN) results for BaMo2W at its PBEsol-relaxed geometry.

Computed properties:
final energy = -175.63 eV per cell
SG = P2/m (10)
formation energy = 0.85 eV per atom
polymorph energy (0 for the lowest one) = 0 meV/atom

abc: 2.941 4.210 7.141
angles: 90.00 90.54 90.00
Element x y z (fractional)
Ba (0.000, 0.000, 0.000)
Mo (0.134, 0.500, 0.345)
Mo (0.866, 0.500, 0.655)
W (0.500, 0.000, 0.500)

Record 10
DFT (SCAN) results for BaMo2W at its PBEsol-relaxed geometry.

Computed properties:
final energy = -172.85 eV per cell
SG = P4/mmm (123)
formation energy = 1.54 eV per atom
polymorph energy (0 for the lowest one) = 694 meV/atom

abc: 4.786 4.786 3.189
angles: 90.00 90.00 90.00
Element x y z (fractional)
Ba (0.000, 0.000, 0.000)
Mo (0.000, 0.500, 0.500)
Mo (0.500, 0.000, 0.500)
W (0.500, 0.500, 0.000)

Record 11
DFT (SCAN) results for Ba2MoW at its PBEsol-relaxed geometry.

Computed properties:
final energy = -180.57 eV per cell
SG = Pm (6)
formation energy = 0.78 eV per atom
polymorph energy (0 for the lowest one) = 0 meV/atom

abc: 3.360 3.434 10.026
angles: 90.00 99.53 90.00
Element x y z (fractional)
Ba (0.000, 0.000, 0.000)
Ba (0.192, 0.500, 0.379)
Mo (0.371, 0.500, 0.740)
W (0.822, 0.000, 0.640)

Record 12
DFT (SCAN) results for Ba2MoW at its PBEsol-relaxed geometry.

Computed properties:
final energy = -703.33 eV per cell
SG = Fm-3m (225)
formation energy = 1.96 eV per atom
polymorph energy (0 for the lowest one) = 1185 meV/atom

abc: 7.697 7.697 7.697
angles: 90.00 90.00 90.00
Element x y z (fractional)
Ba (0.250, 0.250, 0.250)
Ba (0.250, 0.250, 0.750)
Ba (0.250, 0.750, 0.250)
Ba (0.250, 0.750, 0.750)
Ba (0.750, 0.250, 0.250)
Ba (0.750, 0.250, 0.750)
Ba (0.750, 0.750, 0.250)
Ba (0.750, 0.750, 0.750)
Mo (0.000, 0.000, 0.000)
Mo (0.000, 0.500, 0.500)
Mo (0.500, 0.000, 0.500)
Mo (0.500, 0.500, 0.000)
W (0.000, 0.000, 0.500)
W (0.000, 0.500, 0.000)
W (0.500, 0.000, 0.000)
W (0.500, 0.500, 0.500)